[1]
An optimized crystal structure of CaMgMn. Source: the Alexandria database, functional PBE.

It has space group F-43m (No. 216), with a = 6.983 Å, b = 6.983 Å, c = 6.983 Å, α = 90.00°, β = 90.00° and γ = 90.00°. The inequivalent atoms are Ca at (0.000, 0.000, 0.000), Mg at (0.000, 0.000, 0.500) and Mn at (0.250, 0.250, 0.750).

Its crystal system is cubic. Its formation energy is 556 meV per atom.

=====

[2]
An optimized crystal structure of TlTePb2. Source: the Alexandria database, functional PBE.

It has space group P4mm (No. 99), with a = 4.336 Å, b = 4.336 Å, c = 7.127 Å, α = 90.00°, β = 90.00° and γ = 90.00°. The inequivalent atoms are Tl at (0.000, 0.000, 0.000), Te at (0.500, 0.500, 0.680), Pb at (0.000, 0.000, 0.518) and Pb at (0.500, 0.500, 0.240).

The calculation puts the uncorrected formation energy at -0.098 eV/atom. Its crystal system is tetragonal. The value obtained for the excess energy over the best structure of this formula in the dataset is 0 meV per atom.

=====

no.,M_tot (μB per formula unit),total DFT energy (no corrections) (eV per atom),DOS(E_F) (states/eV/cell)
1,3.70,-3.699,13.90
2,0.00,-3.330,1.08